Entry 1:
First-principles (PBE-GGA) data for a relaxed structure of TbNd4Hg, as listed in the Alexandria database.

```
TbNd4Hg
1.0
-1.2507 4.8922 -4.1262
-4.3549 0.9608 8.0764
8.3671 0.6660 0.5978
Tb Nd Hg
2 8 2
direct
0.3417 0.5917 0.1834
0.6583 0.4083 0.8166
0.0443 0.1688 0.7703
0.7601 0.7117 0.6224
0.2260 0.6015 0.7703
0.3623 0.9107 0.6224
0.6377 0.0893 0.3776
0.7740 0.3985 0.2297
0.2399 0.2883 0.3776
0.9557 0.8312 0.2297
0.2516 0.0016 0.0032
0.7484 0.9984 0.9968
```

The value obtained for the formation energy is -1.2 kcal/mol of atoms. As for the energy above the most stable polymorph in this dataset: 0.56 eV/f.u. The value obtained for the calculated density is 7.9 g/cm3. As for the space-group type: C2/c (15).

***

Entry 2:
First-principles (PBE-GGA) data for a relaxed structure of NaPu4In15, as listed in the Alexandria database.

```
NaPu4In15
1.0
-0.7959 4.3930 1.2859
-4.3633 -0.3337 -1.5608
-6.9942 -7.4573 21.1474
Na Pu In
1 4 15
direct
0.0000 0.0000 0.0000
0.0000 0.0000 0.2003
0.0000 0.0000 0.4005
0.0000 0.0000 0.5995
0.0000 0.0000 0.7997
0.5000 0.5000 0.0000
0.5000 0.5000 0.2027
0.5000 0.5000 0.4004
0.5000 0.5000 0.5996
0.5000 0.5000 0.7973
0.5000 0.0000 0.1001
0.5000 0.0000 0.3008
0.5000 0.0000 0.5000
0.5000 0.0000 0.6992
0.5000 0.0000 0.8999
0.0000 0.5000 0.1001
0.0000 0.5000 0.3008
0.0000 0.5000 0.5000
0.0000 0.5000 0.6992
0.0000 0.5000 0.8999
```

The value obtained for the formation energy is -4.2 kcal/mol of atoms. The value obtained for the calculated density is 8.9 g/cm3. As for the space-group type: P4/mmm (123).

***

Entry 3:
First-principles (PBE-GGA) data for a relaxed structure of In3Hg6Pb2, as listed in the Alexandria database.

```
In3Hg6Pb2
1.0
-3.3749 1.4051 -5.2260
-2.5327 -3.2114 4.8938
-7.4581 8.0012 4.2700
In Hg Pb
3 6 2
direct
0.0000 0.0000 0.0000
0.7871 0.7870 0.2970
0.2129 0.2130 0.7030
0.0378 0.4905 0.8466
0.4905 0.0378 0.8466
0.9622 0.5095 0.1534
0.5095 0.9622 0.1534
0.7406 0.7406 0.5643
0.2594 0.2594 0.4357
0.3588 0.3588 0.1506
0.6412 0.6412 0.8494
```

The value obtained for the formation energy is 2.0 kcal/mol of atoms. As for the energy above the most stable polymorph in this dataset: 0.60 eV/f.u. The value obtained for the calculated density is 8.7 g/cm3. As for the space-group type: C2/m (12).

***

Entry 4:
First-principles (PBE-GGA) data for a relaxed structure of Cd2SbAu, as listed in the Alexandria database.

```
Cd2SbAu
1.0
9.2141 -0.1609 -0.0947
8.6215 3.2551 -0.0947
8.6215 1.4957 2.8927
Sb Au Cd
1 1 2
direct
0.2500 0.2500 0.2500
0.7500 0.7500 0.7500
0.0077 0.0077 0.0077
0.4923 0.4923 0.4923
```

The total energy is -2.2748 eV per atom. The value obtained for the calculated density is 9.6 g/cm3. As for the space-group type: R-3m (166).

***

Entry 5:
First-principles (PBE-GGA) data for a relaxed structure of DyHo6Tm3Th2, as listed in the Alexandria database.

```
DyHo6Tm3Th2
1.0
-2.6787 5.3152 1.4055
0.7991 -4.2532 4.3214
10.9010 4.1535 0.6280
Dy Ho Tm Th
1 6 3 2
direct
0.0000 0.0000 0.0000
0.9162 0.5797 0.7504
0.7470 0.7470 0.2498
0.0838 0.4203 0.2496
0.5797 0.9162 0.7504
0.2530 0.2530 0.7502
0.4203 0.0838 0.2496
0.1664 0.8336 0.5000
0.8336 0.1664 0.5000
0.5000 0.5000 0.5000
0.3333 0.6667 0.0000
0.6667 0.3333 0.0000
```

The value obtained for the formation energy is 0.6 kcal/mol of atoms. The value obtained for the calculated density is 9.5 g/cm3. As for the space-group type: C2/m (12).

***

Entry 6:
First-principles (PBE-GGA) data for a relaxed structure of TbYZn, as listed in the Alexandria database.

```
TbYZn
1.0
3.5933 0.0000 0.0000
0.0000 3.5933 0.0000
-1.7967 -1.7967 6.1136
Y Zn Tb
1 1 1
direct
0.0235 0.0235 0.0469
0.6667 0.6667 0.3334
0.3099 0.3099 0.6197
```

The value obtained for the formation energy is -5.0 kcal/mol of atoms. As for the energy above the most stable polymorph in this dataset: 0.00 eV/f.u. The value obtained for the calculated density is 6.6 g/cm3. As for the space-group type: I4mm (107).

***

Entry 7:
First-principles (PBE-GGA) data for a relaxed structure of K2IrBr, as listed in the Alexandria database.

```
K2IrBr
1.0
8.8918 0.0000 0.0000
0.0000 8.8918 0.0000
4.4459 4.4459 2.9417
K Ir Br
4 2 2
direct
0.6183 0.1250 0.2500
0.1317 0.6250 0.2500
0.3750 0.3817 0.7500
0.8750 0.8683 0.7500
0.0000 0.0000 0.0000
0.7500 0.2500 0.5000
0.5000 0.5000 0.0000
0.2500 0.7500 0.5000
```

As for the energy above the most stable polymorph in this dataset: 1.05 eV/f.u. The value obtained for the calculated density is 5.0 g/cm3. As for the space-group type: I-42d (122).

***

Entry 8:
First-principles (PBE-GGA) data for a relaxed structure of La3GeCl2, as listed in the Alexandria database.

```
La3GeCl2
1.0
-3.3543 -1.2629 2.5422
-2.8808 -2.0849 -4.8369
5.8159 -3.8956 1.9409
La Ge Cl
3 1 2
direct
0.8375 0.3375 0.1750
0.1625 0.6625 0.8250
0.5000 0.0000 0.5000
0.5000 0.5000 0.5000
0.8363 0.8363 0.1727
0.1637 0.1637 0.8273
```

As for the energy above the most stable polymorph in this dataset: 0.00 eV/f.u. The value obtained for the calculated density is 5.7 g/cm3. As for the space-group type: Immm (71).

***

Entry 9:
First-principles (PBE-GGA) data for a relaxed structure of TiBrCl3, as listed in the Alexandria database.

```
TiBrCl3
1.0
6.1811 0.2346 0.2694
-0.2741 10.3579 -0.2851
-0.2741 -1.7051 10.2205
Ti Br Cl
4 4 12
direct
0.2500 0.1714 0.8286
0.7500 0.8286 0.1714
0.2500 0.6749 0.3251
0.7500 0.3251 0.6749
0.9288 0.5878 0.1886
0.5712 0.8114 0.4122
0.0712 0.4122 0.8114
0.4288 0.1886 0.5878
0.5640 0.2953 0.8944
0.9360 0.1056 0.7047
0.4360 0.7047 0.1056
0.0640 0.8944 0.2953
0.8833 0.8048 0.9710
0.6167 0.0290 0.1952
0.1167 0.1952 0.0290
0.3833 0.9710 0.8048
0.3965 0.4782 0.3044
0.1035 0.6956 0.5218
0.6035 0.5218 0.6956
0.8965 0.3044 0.4782
```

As for the energy above the most stable polymorph in this dataset: 0.24 eV/f.u. The value obtained for the calculated density is 2.4 g/cm3. As for the space-group type: C2/c (15).

***

Entry 10:
First-principles (PBE-GGA) data for a relaxed structure of TlHg2Ir, as listed in the Alexandria database.

```
TlHg2Ir
1.0
3.1947 0.0000 0.0000
0.0000 4.8050 0.0000
0.0000 0.0000 5.5186
Hg Ir Tl
2 1 1
direct
0.0000 0.0000 0.0000
0.5000 0.5000 0.0000
0.5000 0.0000 0.5000
0.0000 0.5000 0.5000
```

The value obtained for the formation energy is 11.9 kcal/mol of atoms. As for the energy above the most stable polymorph in this dataset: 0.95 eV/f.u. The value obtained for the calculated density is 15.6 g/cm3. As for the space-group type: Pmmm (47).

***

Entry 11:
First-principles (PBE-GGA) data for a relaxed structure of SrYSi, as listed in the Alexandria database.

```
SrYSi
1.0
5.0870 0.0000 0.0000
2.5435 4.4055 0.0000
2.5435 1.4685 4.1535
Si Sr Y
1 1 1
direct
0.7500 0.7500 0.7500
0.0000 0.0000 0.0000
0.5000 0.5000 0.5000
```

The total energy is -4.8184 eV per atom. The value obtained for the calculated density is 3.7 g/cm3. As for the space-group type: F-43m (216).

***

Entry 12:
First-principles (PBE-GGA) data for a relaxed structure of LiCaO3, as listed in the Alexandria database.

```
LiCaO3
1.0
3.6959 0.0000 0.0000
0.0000 3.6959 0.0000
0.0000 0.0000 3.6959
Ca O Li
1 3 1
direct
0.5000 0.5000 0.5000
0.0000 0.5000 0.0000
0.0000 0.0000 0.5000
0.5000 0.0000 0.0000
0.0000 0.0000 0.0000
```

The total energy is -4.9746 eV per atom. The value obtained for the calculated density is 3.1 g/cm3. As for the space-group type: Pm-3m (221).

***

Entry 13:
First-principles (PBE-GGA) data for a relaxed structure of CaPBr2, as listed in the Alexandria database.

```
CaPBr2
1.0
-0.2724 5.0707 -1.9608
-5.2245 -1.4876 0.3513
-2.8879 3.1563 2.7678
Br Ca P
2 1 1
direct
0.0000 0.0000 0.0000
0.5000 0.5000 0.0000
0.5000 0.0000 0.5000
0.0000 0.5000 0.5000
```

As for the energy above the most stable polymorph in this dataset: 0.81 eV/f.u. The value obtained for the calculated density is 3.5 g/cm3. As for the space-group type: C2/m (12).

***

Entry 14:
First-principles (PBE-GGA) data for a relaxed structure of LaMnIn3, as listed in the Alexandria database.

```
LaMnIn3
1.0
5.0608 0.0000 0.0000
0.0000 5.0608 0.0000
0.0000 0.0000 5.0608
In Mn La
3 1 1
direct
0.0000 0.5000 0.0000
0.0000 0.0000 0.5000
0.5000 0.0000 0.0000
0.0000 0.0000 0.0000
0.5000 0.5000 0.5000
```

The value obtained for the formation energy is -2.5 kcal/mol of atoms. As for the energy above the most stable polymorph in this dataset: 0.00 eV/f.u. The value obtained for the calculated density is 6.9 g/cm3. As for the space-group type: Pm-3m (221).

***

Entry 15:
First-principles (PBE-GGA) data for a relaxed structure of SiHg, as listed in the Alexandria database.

```
SiHg
1.0
3.2361 -5.6051 0.0000
3.2361 5.6051 0.0000
0.0000 0.0000 3.9781
Si Hg
3 3
direct
0.0000 0.0000 0.0000
0.3333 0.6667 0.5000
0.6667 0.3333 0.5000
0.5000 0.0000 0.0000
0.0000 0.5000 0.0000
0.5000 0.5000 0.0000
```

As for the energy above the most stable polymorph in this dataset: 1.34 eV/f.u. The value obtained for the calculated density is 7.9 g/cm3. As for the space-group type: P6/mmm (191).

***

Entry 16:
First-principles (PBE-GGA) data for a relaxed structure of CoRu3I, as listed in the Alexandria database.

```
CoRu3I
1.0
-4.4312 -0.6253 -0.4072
0.7279 -4.1625 -1.5286
-0.1644 -1.5733 4.2060
I Ru Co
1 3 1
direct
0.5000 0.5000 0.5000
0.0000 0.5000 0.0000
0.0000 0.0000 0.5000
0.5000 0.0000 0.0000
0.0000 0.0000 0.0000
```

As for the energy above the most stable polymorph in this dataset: 0.00 eV/f.u. The value obtained for the calculated density is 8.9 g/cm3. As for the space-group type: Pm-3m (221).

***

Entry 17:
First-principles (PBE-GGA) data for a relaxed structure of K5Mg3, as listed in the Alexandria database.

```
K5Mg3
1.0
11.1979 0.0040 -0.0099
-9.0020 6.6602 -0.0099
-1.1123 -3.3755 10.5477
K Mg
10 6
direct
0.0809 0.7823 0.8623
0.2197 0.0812 0.2991
0.2502 0.7502 0.4999
0.2823 0.5809 0.8623
0.4197 0.2812 0.7016
0.5812 0.7197 0.2991
0.7184 0.4198 0.1384
0.7508 0.2508 0.5009
0.7812 0.9197 0.7016
0.9198 0.2184 0.1384
0.1674 0.3335 0.5004
0.2503 0.2506 0.0005
0.3327 0.8327 0.1658
0.6679 0.1679 0.8350
0.7506 0.7503 0.0005
0.8335 0.6674 0.5005
```

The value obtained for the formation energy is 4.5 kcal/mol of atoms. As for the energy above the most stable polymorph in this dataset: 0.00 eV/f.u. The value obtained for the calculated density is 1.1 g/cm3. As for the space-group type: C2/m (12).

***

Entry 18:
First-principles (PBE-GGA) data for a relaxed structure of Ca2RuRhO6, as listed in the Alexandria database.

```
Ca2RuRhO6
1.0
-0.9468 -3.7843 1.0979
4.7838 -0.3736 2.8376
-2.5486 1.9590 4.5545
Ca Ru Rh O
2 1 1 6
direct
0.0510 0.5000 0.0000
0.0510 0.0000 0.5000
0.6265 0.0000 0.0000
0.6369 0.5000 0.5000
0.6934 0.2463 0.2463
0.6934 0.2463 0.7537
0.1508 0.5000 0.5000
0.1571 0.0000 0.0000
0.6934 0.7537 0.7537
0.6934 0.7537 0.2463
```

The total energy is -6.6056 eV per atom. The value obtained for the calculated density is 5.0 g/cm3. As for the space-group type: P4mm (99).

***

Entry 19:
First-principles (PBE-GGA) data for a relaxed structure of Li2ScPd5, as listed in the Alexandria database.

```
Li2ScPd5
1.0
-5.3336 0.7804 -0.6410
1.6920 -4.9062 -1.5915
1.0823 0.4512 5.3002
Li Sc Pd
2 1 5
direct
0.2777 0.7779 0.5001
0.7776 0.2778 0.4999
0.7787 0.7785 0.0000
0.2780 0.2783 0.5005
0.2782 0.7775 0.0000
0.7778 0.2781 0.0000
0.7775 0.7778 0.4995
0.2776 0.2773 0.0000
```

The value obtained for the formation energy is -12.8 kcal/mol of atoms. As for the energy above the most stable polymorph in this dataset: 0.00 eV/f.u. The value obtained for the calculated density is 8.0 g/cm3. As for the space-group type: I4mm (107).

***

Entry 20:
First-principles (PBE-GGA) data for a relaxed structure of TlTe2O6, as listed in the Alexandria database.

```
TlTe2O6
1.0
-1.5412 -3.8784 -1.8927
3.1990 -3.2133 3.9796
-5.6657 1.6214 1.2908
Tl Te O
1 2 6
direct
0.5000 0.0000 0.0000
0.4630 0.6667 0.3333
0.5370 0.3333 0.6667
0.3000 0.6174 0.6910
0.3000 0.0736 0.3826
0.3000 0.3090 0.9264
0.7000 0.3826 0.3090
0.7000 0.9264 0.6174
0.7000 0.6910 0.0736
```

As for the energy above the most stable polymorph in this dataset: 1.83 eV/f.u. The value obtained for the calculated density is 6.4 g/cm3. As for the space-group type: P-3 (147).

***

Entry 21:
First-principles (PBE-GGA) data for a relaxed structure of AlCu2Tc, as listed in the Alexandria database.

```
AlCu2Tc
1.0
-1.3353 -0.1067 4.5923
-2.1545 -4.0386 1.3896
4.0244 1.0767 -2.3513
Tc Cu Al
1 2 1
direct
0.2500 0.7500 0.5000
0.0000 0.0000 0.0000
0.5000 0.5000 0.0000
0.7500 0.2500 0.5000
```

The value obtained for the formation energy is 0.6 kcal/mol of atoms. The value obtained for the calculated density is 7.9 g/cm3. As for the space-group type: I4/mmm (139).

***

Entry 22:
First-principles (PBE-GGA) data for a relaxed structure of FeNiMo2H, as listed in the Alexandria database.

```
FeNiMo2H
1.0
-3.6183 -1.0927 0.9767
-0.1088 -2.3940 -3.0817
1.3639 -2.6910 2.0423
Ni Mo Fe H
1 2 1 1
direct
0.5000 0.5000 0.5000
0.0000 0.5000 0.0000
0.5000 0.0000 0.0000
0.0000 0.0000 0.5000
0.0000 0.0000 0.0000
```

As for the energy above the most stable polymorph in this dataset: 0.00 eV/f.u. The value obtained for the calculated density is 9.2 g/cm3. As for the space-group type: P4/mmm (123).

***

The evaluated magnetization for the records listed, in turn: 0.00, 22.46, 0.00, 0.00, 0.00, 0.00, 0.35, 0.00, 0.00, 0.00, 0.00, 3.00, 0.00, 1.92, 0.00, 0.00, 0.00, 3.27, 0.00, 0.00, 0.00, 0.88 μB/f.u..